Entry 1:
Tb4SmY | PBE | relaxed

Properties
Energy relative to the lowest polymorph listed for this composition, eV/atom: 0.0000

Unit cell a=5.044 b=6.192 c=7.155 alpha=106.85 beta=90.01 gamma=113.94
Fractional positions:
1 Tb 0.167 0.334 0.334
2 Tb 0.167 0.335 0.834
3 Tb 0.833 0.665 0.166
4 Tb 0.833 0.666 0.666
5 Sm 0.500 0.000 0.500
6 Y 0.500 0.000 0.000

***

Entry 2:
Tb12Sm2Y7 | PBE | relaxed

Unit cell a=14.907 b=14.907 c=3.537 alpha=90.00 beta=90.00 gamma=120.00
Fractional positions:
1 Tb 0.052 0.257 0.000
2 Tb 0.125 0.715 0.500
3 Tb 0.205 0.948 0.000
4 Tb 0.285 0.410 0.500
5 Tb 0.415 0.148 0.500
6 Tb 0.494 0.395 0.000
7 Tb 0.590 0.875 0.500
8 Tb 0.605 0.099 0.000
9 Tb 0.733 0.585 0.500
10 Tb 0.743 0.795 0.000
11 Tb 0.852 0.267 0.500
12 Tb 0.901 0.506 0.000
13 Sm 0.000 0.000 0.500
14 Sm 0.333 0.667 0.000
15 Y 0.099 0.482 0.500
16 Y 0.231 0.184 0.000
17 Y 0.382 0.901 0.500
18 Y 0.518 0.618 0.500
19 Y 0.667 0.333 0.500
20 Y 0.816 0.047 0.000
21 Y 0.953 0.769 0.000

***

Entry 3:
TbSm4Y6 | PBE | relaxed

Properties
Energy relative to the lowest polymorph listed for this composition, eV/atom: 0.0000

Unit cell a=5.645 b=5.645 c=25.923 alpha=90.00 beta=90.00 gamma=118.54
Fractional positions:
1 Tb 0.182 0.818 0.750
2 Tb 0.818 0.182 0.250
3 Sm 0.157 0.843 0.044
4 Sm 0.157 0.843 0.456
5 Sm 0.471 0.529 0.122
6 Sm 0.471 0.529 0.378
7 Sm 0.529 0.471 0.622
8 Sm 0.529 0.471 0.878
9 Sm 0.843 0.157 0.544
10 Sm 0.843 0.157 0.956
11 Y 0.146 0.854 0.182
12 Y 0.146 0.854 0.318
13 Y 0.189 0.811 0.605
14 Y 0.189 0.811 0.895
15 Y 0.484 0.516 0.250
16 Y 0.500 0.500 0.000
17 Y 0.500 0.500 0.500
18 Y 0.516 0.484 0.750
19 Y 0.811 0.189 0.105
20 Y 0.811 0.189 0.395
21 Y 0.854 0.146 0.682
22 Y 0.854 0.146 0.818

***

Entry 4:
TbSm4Y5 | PBE | relaxed

Properties
Energy relative to the lowest polymorph listed for this composition, eV/atom: 0.0000

Unit cell a=8.865 b=8.865 c=11.085 alpha=90.07 beta=90.07 gamma=23.13
Fractional positions:
1 Tb 0.000 0.000 0.000
2 Sm 0.152 0.152 0.750
3 Sm 0.472 0.472 0.751
4 Sm 0.528 0.528 0.249
5 Sm 0.848 0.848 0.250
6 Y 0.000 0.000 0.500
7 Y 0.326 0.326 0.557
8 Y 0.326 0.326 0.944
9 Y 0.674 0.674 0.056
10 Y 0.674 0.674 0.443

***

Entry 5:
TbSm4Y3 | PBE | relaxed

Properties
Energy relative to the lowest polymorph listed for this composition, eV/atom: 0.0000

Unit cell a=11.499 b=7.336 c=6.339 alpha=90.00 beta=90.00 gamma=90.00
Fractional positions:
1 Tb 0.000 0.125 0.000
2 Tb 0.500 0.875 0.500
3 Sm 0.000 0.374 0.503
4 Sm 0.000 0.626 0.003
5 Sm 0.250 0.374 0.834
6 Sm 0.250 0.626 0.334
7 Sm 0.500 0.374 0.503
8 Sm 0.500 0.626 0.003
9 Sm 0.750 0.374 0.834
10 Sm 0.750 0.626 0.334
11 Y 0.000 0.877 0.500
12 Y 0.250 0.124 0.335
13 Y 0.250 0.876 0.835
14 Y 0.500 0.123 0.000
15 Y 0.750 0.124 0.335
16 Y 0.750 0.876 0.835

***

Entry 6:
Tb3SmY6 | PBE | relaxed

Properties
Energy relative to the lowest polymorph listed for this composition, eV/atom: 0.0294

Unit cell a=10.974 b=10.974 c=6.280 alpha=90.00 beta=90.00 gamma=119.68
Fractional positions:
1 Tb 0.111 0.889 0.500
2 Tb 0.217 0.437 0.882
3 Tb 0.437 0.217 0.382
4 Tb 0.563 0.783 0.882
5 Tb 0.783 0.563 0.382
6 Tb 0.889 0.111 0.000
7 Sm 0.295 0.705 0.580
8 Sm 0.705 0.295 0.080
9 Y 0.038 0.455 0.292
10 Y 0.119 0.210 0.466
11 Y 0.210 0.119 0.966
12 Y 0.220 0.780 0.079
13 Y 0.453 0.547 0.329
14 Y 0.455 0.038 0.792
15 Y 0.545 0.962 0.292
16 Y 0.547 0.453 0.829
17 Y 0.780 0.220 0.579
18 Y 0.790 0.881 0.466
19 Y 0.881 0.790 0.966
20 Y 0.962 0.545 0.792

***

Entry 7:
Tb5Sm12Y2 | PBE | relaxed

Unit cell a=9.429 b=9.429 c=7.962 alpha=91.01 beta=91.01 gamma=65.59
Fractional positions:
1 Tb 0.000 0.000 0.000
2 Tb 0.246 0.246 0.989
3 Tb 0.352 0.352 0.418
4 Tb 0.648 0.648 0.582
5 Tb 0.754 0.754 0.011
6 Sm 0.039 0.575 0.705
7 Sm 0.154 0.154 0.620
8 Sm 0.168 0.620 0.111
9 Sm 0.380 0.832 0.889
10 Sm 0.425 0.961 0.295
11 Sm 0.448 0.448 0.792
12 Sm 0.552 0.552 0.208
13 Sm 0.575 0.039 0.705
14 Sm 0.620 0.168 0.111
15 Sm 0.832 0.380 0.889
16 Sm 0.846 0.846 0.380
17 Sm 0.961 0.425 0.295
18 Y 0.237 0.763 0.500
19 Y 0.763 0.237 0.500

***

Entry 8:
Tb4SmY | PBE | relaxed

Properties
Energy relative to the lowest polymorph listed for this composition, eV/atom: 0.2386

Unit cell a=6.896 b=6.896 c=9.775 alpha=90.00 beta=90.00 gamma=121.33
Fractional positions:
1 Tb 0.136 0.340 0.750
2 Tb 0.157 0.843 0.570
3 Tb 0.157 0.843 0.930
4 Tb 0.340 0.136 0.250
5 Tb 0.660 0.864 0.750
6 Tb 0.843 0.157 0.070
7 Tb 0.843 0.157 0.430
8 Tb 0.864 0.660 0.250
9 Sm 0.322 0.678 0.250
10 Sm 0.678 0.322 0.750
11 Y 0.500 0.500 0.000
12 Y 0.500 0.500 0.500

***

no.,ΔE_f (meV per atom),total energy (eV/atom)
1,17.1,-4.9336
2,42.2,-5.2078
3,116.5,-5.5463
4,186.6,-5.3961
5,18.4,-5.3440
6,143.3,-5.5961
7,132.3,-4.7471
8,255.7,-4.6950